# 1
BaTaW2: relaxed, PBE.

Its energy above the lowest structure with this stoichiometry is 84 kJ/mol of formula units. The calculation puts the total moment at 0.000 μB/atom. The space-group type is Cm, No. 8. Its formation energy is 0.970 eV per atom. For the density, the calculation gives 11.2 g/cm3.

Geometry as POSCAR:
```
BaTaW2
1.0
-0.012 -1.986 -4.147
0.674 -4.178 -1.797
-6.990 -1.982 0.190
Ta Ba W
1 1 2
Cartesian
-0.827 -1.968 -1.595
-3.243 -4.059 -2.841
-6.915 -1.991 0.160
-5.499 -6.183 -4.164
```

---

# 2
KReSe: relaxed, PBE.

Its energy above the lowest structure with this stoichiometry is 287 kJ/mol of formula units. The calculation puts the total moment at 0.096 μB/atom. The space-group type is F-43m, No. 216. For the density, the calculation gives 7.4 g/cm3. Its raw formation energy is 4.1 eV/f.u.

Geometry as POSCAR:
```
KReSe
1.0
-1.891 -0.744 -4.118
0.493 -4.080 -2.050
-3.602 -2.821 -0.397
K Se Re
1 1 1
Cartesian
0.000 0.000 0.000
-3.750 -5.734 -4.924
-2.500 -3.822 -3.283
```

---

# 3
Ti5H2: relaxed, PBE.

The calculation puts the total moment at 0.000 μB/atom. The space-group type is P2/m, No. 10. The final energy is -6.757 eV/atom. For the density, the calculation gives 4.5 g/cm3.

Geometry as POSCAR:
```
Ti5H2
1.0
-0.299 3.811 -2.487
-3.604 -2.555 -3.484
-5.137 0.233 5.143
Ti H
10 4
Cartesian
-5.831 -0.647 -0.308
-4.029 0.631 1.433
-2.852 -0.010 -3.856
-6.168 2.372 0.098
-7.964 1.017 -1.593
-5.010 0.858 -2.261
-3.208 2.136 -0.519
-6.188 1.500 3.028
-1.076 0.472 0.766
-2.871 -0.883 -0.925
-3.031 1.216 -2.299
-4.808 -0.376 -3.836
-4.232 1.865 3.009
-6.008 0.274 1.471
```

---

# 4
U2NiAg3Se6: relaxed, PBE.

The calculation puts the total moment at 0.248 μB/atom. The space-group type is C2/m, No. 12. For the density, the calculation gives 7.8 g/cm3. Its raw formation energy is -6.3 eV/f.u.

Geometry as POSCAR:
```
U2NiAg3Se6
1.0
-5.055 4.873 -0.783
0.861 -5.212 -4.691
-3.487 -3.740 4.371
Ag Se U Ni
3 6 2 1
Cartesian
-2.403 -4.490 -1.502
-3.840 -2.039 -0.552
-5.278 0.411 0.398
-3.840 -1.083 -3.020
-0.656 -2.479 -0.654
-3.841 -2.996 1.916
-5.181 -4.742 -1.668
-2.500 0.664 0.564
-7.025 -1.599 -0.450
-3.052 1.459 -2.106
-1.142 -1.798 -3.368
0.000 0.000 0.000
```

---

# 5
SrTb2SiN4: relaxed, PBE.

The calculation puts the total moment at 0.000 μB/atom. The space-group type is Cmcm, No. 63. For the density, the calculation gives 6.9 g/cm3. Its raw formation energy is -10.5 eV/f.u.

Geometry as POSCAR:
```
SrTb2SiN4
1.0
3.377 0.000 0.000
-1.688 5.982 0.000
0.000 0.000 11.696
Tb N Si Sr
4 8 2 2
Cartesian
1.688 1.571 0.467
0.000 4.411 6.315
0.000 4.411 11.228
1.688 1.571 5.381
0.000 3.120 1.473
1.688 2.862 7.321
0.000 3.120 4.374
0.000 0.000 0.000
0.000 4.775 8.772
1.688 1.207 2.924
0.000 0.000 5.848
1.688 2.862 10.222
1.688 3.786 8.772
0.000 2.196 2.924
0.000 1.104 8.772
1.688 4.878 2.924
```

---

# 6
La2HgPd: relaxed, PBE.

The calculation puts the total moment at 0.000 μB/atom. The space-group type is P4/mmm, No. 123. Its formation energy is -0.622 eV per atom. For the density, the calculation gives 8.9 g/cm3.

Geometry as POSCAR:
```
La2HgPd
1.0
3.756 0.000 0.000
0.000 3.756 0.000
0.000 0.000 7.742
Hg La Pd
1 2 1
Cartesian
1.878 1.878 3.871
0.000 0.000 1.757
0.000 0.000 5.984
1.878 1.878 0.000
```